Li5Ni4O8 (PBE+U, optimized geometry); E = -4.7766 eV per atom; SG = No. 212
1.0
8.390 0.000 0.000
0.000 8.390 0.000
0.000 0.000 8.390
Li O Ni
20 32 16
direct
0.375 0.390 0.140 Li
0.447 0.947 0.553 Li
0.197 0.197 0.197 Li
0.610 0.640 0.125 Li
0.553 0.447 0.947 Li
0.303 0.803 0.697 Li
0.890 0.360 0.625 Li
0.390 0.140 0.375 Li
0.803 0.697 0.303 Li
0.860 0.875 0.110 Li
0.947 0.553 0.447 Li
0.697 0.303 0.803 Li
0.053 0.053 0.053 Li
0.140 0.375 0.390 Li
0.110 0.860 0.875 Li
0.875 0.110 0.860 Li
0.640 0.125 0.610 Li
0.125 0.610 0.640 Li
0.360 0.625 0.890 Li
0.625 0.890 0.360 Li
0.112 0.882 0.621 O
0.118 0.121 0.388 O
0.612 0.618 0.379 O
0.630 0.130 0.370 O
0.882 0.621 0.112 O
0.632 0.638 0.871 O
0.888 0.382 0.879 O
0.870 0.870 0.870 O
0.129 0.132 0.862 O
0.371 0.868 0.362 O
0.868 0.362 0.371 O
0.362 0.371 0.868 O
0.880 0.120 0.620 O
0.879 0.888 0.382 O
0.638 0.871 0.632 O
0.629 0.368 0.138 O
0.871 0.632 0.638 O
0.620 0.880 0.120 O
0.388 0.118 0.121 O
0.621 0.112 0.882 O
0.132 0.862 0.129 O
0.138 0.629 0.368 O
0.368 0.138 0.629 O
0.120 0.620 0.880 O
0.370 0.630 0.130 O
0.382 0.879 0.888 O
0.380 0.380 0.380 O
0.130 0.370 0.630 O
0.862 0.129 0.132 O
0.618 0.379 0.612 O
0.121 0.388 0.118 O
0.379 0.612 0.618 O
0.875 0.875 0.625 Ni
0.375 0.375 0.625 Ni
0.125 0.875 0.375 Ni
0.375 0.125 0.875 Ni
0.125 0.125 0.625 Ni
0.875 0.375 0.125 Ni
0.375 0.625 0.375 Ni
0.625 0.875 0.875 Ni
0.125 0.625 0.125 Ni
0.875 0.625 0.875 Ni
0.625 0.625 0.625 Ni
0.625 0.125 0.125 Ni
0.375 0.875 0.125 Ni
0.875 0.125 0.375 Ni
0.625 0.375 0.375 Ni
0.125 0.375 0.875 Ni